# 1
{
  "formula": "MgReRh",
  "functional": "GGA-PBE",
  "state": "optimized geometry",
  "cell": [[-3.540, 6.388, 1.391], [-2.286, -3.130, 2.288], [1.693, 0.436, 2.293]],
  "species": ["Re", "Re", "Mg", "Mg", "Rh", "Rh"],
  "fractional_positions": [[0.940, 0.488, 0.340], [0.008, 0.999, 0.837], [0.651, 0.911, 0.338], [0.297, 0.576, 0.839], [0.309, 0.074, 0.338], [0.638, 0.413, 0.839]],
  "m_tot_mub_per_fu": 0.00,
  "formation_enthalpy_0k_ev_per_atom": -0.10,
  "de_polymorph_mev_per_atom": 47
}

---

# 2
{
  "formula": "Ce2In2S7",
  "functional": "GGA-PBE",
  "state": "optimized geometry",
  "cell": [[6.605, -0.047, -0.068], [-0.766, 7.009, 0.444], [-0.766, -2.045, 6.718]],
  "species": ["Ce", "Ce", "In", "In", "S", "S", "S", "S", "S", "S", "S"],
  "fractional_positions": [[0.500, 0.300, 0.700], [0.500, 0.700, 0.300], [0.908, 0.250, 0.250], [0.092, 0.750, 0.750], [0.275, 0.933, 0.542], [0.725, 0.458, 0.067], [0.725, 0.067, 0.458], [0.275, 0.542, 0.933], [0.000, 0.000, 0.000], [0.742, 0.579, 0.579], [0.258, 0.421, 0.421]],
  "m_tot_mub_per_fu": 0.23,
  "raw_formation_energy_ev_per_atom": -1.0188
}

---

# 3
{
  "formula": "V2IrRh4",
  "functional": "GGA-PBE",
  "state": "optimized geometry",
  "cell": [[-7.177, 5.932, -2.850], [1.491, -0.445, -4.681], [-4.034, -2.868, 4.190]],
  "species": ["V", "V", "V", "V", "Ir", "Ir", "Rh", "Rh", "Rh", "Rh", "Rh", "Rh", "Rh", "Rh"],
  "fractional_positions": [[0.070, 0.796, 0.501], [0.930, 0.204, 0.499], [0.570, 0.704, 0.499], [0.430, 0.296, 0.501], [0.000, 0.000, 0.000], [0.500, 0.500, 0.000], [0.834, 0.507, 0.999], [0.830, 0.654, 0.499], [0.670, 0.154, 0.499], [0.666, 0.007, 0.999], [0.334, 0.993, 0.001], [0.330, 0.846, 0.501], [0.170, 0.346, 0.501], [0.166, 0.493, 0.001]],
  "m_tot_mub_per_fu": 0.00,
  "formation_enthalpy_0k_ev_per_atom": -0.07
}

---

# 4
{
  "formula": "MnCu2As",
  "functional": "GGA-PBE",
  "state": "optimized geometry",
  "cell": [[3.338, 0.000, 0.000], [0.000, 3.338, 0.000], [0.000, 0.000, 5.059]],
  "species": ["As", "Cu", "Cu", "Mn"],
  "fractional_positions": [[0.500, 0.500, 0.750], [0.000, 0.000, 0.005], [0.000, 0.000, 0.495], [0.500, 0.500, 0.250]],
  "m_tot_mub_per_fu": 3.71,
  "formation_enthalpy_0k_ev_per_atom": 0.10
}

---

# 5
{
  "formula": "RbErGe2O6",
  "functional": "GGA-PBE",
  "state": "optimized geometry",
  "cell": [[-3.348, -2.110, 3.688], [2.830, -7.012, -0.621], [4.465, 1.753, 5.878]],
  "species": ["Rb", "Rb", "Er", "Er", "Ge", "Ge", "Ge", "Ge", "O", "O", "O", "O", "O", "O", "O", "O", "O", "O", "O", "O"],
  "fractional_positions": [[0.250, 0.908, 0.092], [0.750, 0.092, 0.908], [0.250, 0.282, 0.718], [0.750, 0.718, 0.282], [0.233, 0.789, 0.620], [0.267, 0.380, 0.211], [0.767, 0.211, 0.380], [0.733, 0.620, 0.789], [0.212, 0.995, 0.738], [0.288, 0.262, 0.005], [0.788, 0.005, 0.262], [0.712, 0.738, 0.995], [0.393, 0.786, 0.416], [0.107, 0.584, 0.214], [0.607, 0.214, 0.584], [0.893, 0.416, 0.786], [0.906, 0.730, 0.608], [0.594, 0.392, 0.270], [0.094, 0.270, 0.392], [0.406, 0.608, 0.730]],
  "m_tot_mub_per_fu": 0.00,
  "raw_formation_energy_ev_per_atom": -2.1130
}

---

# 6
{
  "formula": "Na2LiAl3Ag12",
  "functional": "GGA-PBE",
  "state": "optimized geometry",
  "cell": [[-4.604, 1.563, -9.158], [-9.416, 0.359, -4.325], [-6.431, 6.593, -4.762]],
  "species": ["Na", "Na", "Li", "Al", "Al", "Al", "Ag", "Ag", "Ag", "Ag", "Ag", "Ag", "Ag", "Ag", "Ag", "Ag", "Ag", "Ag"],
  "fractional_positions": [[0.648, 0.648, 0.648], [0.352, 0.352, 0.352], [0.000, 0.000, 0.000], [0.500, 0.000, 0.000], [0.000, 0.500, 0.000], [0.000, 0.000, 0.500], [0.413, 0.413, 0.815], [0.931, 0.931, 0.346], [0.346, 0.931, 0.931], [0.815, 0.413, 0.413], [0.931, 0.346, 0.931], [0.413, 0.815, 0.413], [0.587, 0.587, 0.185], [0.069, 0.069, 0.654], [0.654, 0.069, 0.069], [0.185, 0.587, 0.587], [0.069, 0.654, 0.069], [0.587, 0.185, 0.587]],
  "m_tot_mub_per_fu": 0.00,
  "formation_enthalpy_0k_ev_per_atom": 0.17
}

---

# 7
{
  "formula": "RbBa2RuO5",
  "functional": "GGA-PBE",
  "state": "optimized geometry",
  "cell": [[-2.414, 1.596, 2.872], [-2.752, -5.881, 0.955], [6.730, 0.882, 2.272]],
  "species": ["Rb", "Ba", "Ba", "Ru", "O", "O", "O", "O", "O"],
  "fractional_positions": [[0.000, 0.500, 0.000], [0.221, 0.221, 0.442], [0.779, 0.779, 0.558], [0.500, 0.000, 0.000], [0.621, 0.912, 0.242], [0.379, 0.088, 0.758], [0.379, 0.670, 0.758], [0.621, 0.330, 0.242], [0.000, 0.000, 0.000]],
  "m_tot_mub_per_fu": 2.99,
  "raw_formation_energy_ev_per_atom": -1.8133
}

---

# 8
{
  "formula": "NdEr3Ni8",
  "functional": "GGA-PBE",
  "state": "optimized geometry",
  "cell": [[-2.945, -3.041, 2.821], [5.064, -0.436, 0.230], [0.196, 5.528, 6.163]],
  "species": ["Nd", "Er", "Er", "Er", "Ni", "Ni", "Ni", "Ni", "Ni", "Ni", "Ni", "Ni"],
  "fractional_positions": [[0.000, 0.000, 0.565], [0.667, 0.333, 0.433], [0.667, 0.333, 0.062], [0.000, 0.000, 0.941], [0.333, 0.667, 0.499], [0.333, 0.667, 0.999], [0.500, 0.000, 0.754], [0.500, 0.500, 0.754], [0.000, 0.500, 0.754], [0.168, 0.336, 0.246], [0.168, 0.832, 0.246], [0.664, 0.832, 0.246]],
  "m_tot_mub_per_fu": 0.00,
  "formation_enthalpy_0k_ev_per_atom": -0.41,
  "de_polymorph_mev_per_atom": 25
}

---

# 9
{
  "formula": "YSi2W",
  "functional": "GGA-PBE",
  "state": "optimized geometry",
  "cell": [[6.084, -0.003, -0.007], [-2.616, 4.087, 0.004], [0.852, 1.143, 2.835]],
  "species": ["Si", "Si", "W", "Y"],
  "fractional_positions": [[0.000, 0.000, 0.000], [0.500, 0.000, 0.500], [0.000, 0.500, 0.500], [0.500, 0.500, 0.000]],
  "m_tot_mub_per_fu": 0.00,
  "raw_formation_energy_ev_per_atom": 0.0819,
  "de_polymorph_mev_per_atom": 428
}

---

# 10
{
  "formula": "Sr2SiAgRh",
  "functional": "GGA-PBE",
  "state": "optimized geometry",
  "cell": [[-4.607, -3.438, -0.994], [1.907, -0.988, -5.423], [2.343, -3.566, 1.474]],
  "species": ["Sr", "Sr", "Si", "Rh", "Ag"],
  "fractional_positions": [[0.000, 0.500, 0.000], [0.500, 0.000, 0.000], [0.000, 0.000, 0.500], [0.000, 0.000, 0.000], [0.500, 0.500, 0.500]],
  "m_tot_mub_per_fu": 0.00,
  "raw_formation_energy_ev_per_atom": -0.2678
}

---

# 11
{
  "formula": "Nd3Ga3Ni2",
  "functional": "GGA-PBE",
  "state": "optimized geometry",
  "cell": [[-1.255, -2.754, -3.185], [3.987, -2.125, 3.296], [-10.521, -5.685, 9.063]],
  "species": ["Nd", "Nd", "Nd", "Nd", "Nd", "Nd", "Ga", "Ga", "Ga", "Ga", "Ga", "Ga", "Ni", "Ni", "Ni", "Ni"],
  "fractional_positions": [[0.912, 0.824, 0.393], [0.088, 0.176, 0.893], [0.912, 0.824, 0.107], [0.088, 0.176, 0.607], [0.622, 0.244, 0.250], [0.378, 0.756, 0.750], [0.630, 0.260, 0.462], [0.370, 0.740, 0.962], [0.630, 0.260, 0.038], [0.370, 0.740, 0.538], [0.324, 0.647, 0.250], [0.676, 0.353, 0.750], [0.795, 0.590, 0.899], [0.205, 0.410, 0.399], [0.795, 0.590, 0.601], [0.205, 0.410, 0.101]],
  "m_tot_mub_per_fu": 0.00,
  "formation_enthalpy_0k_ev_per_atom": -0.55
}

---

# 12
{
  "formula": "Na2BiCl6",
  "functional": "GGA-PBE",
  "state": "optimized geometry",
  "cell": [[7.080, 0.000, 0.273], [0.000, 6.712, 0.000], [-0.480, 0.000, 11.640]],
  "species": ["Na", "Na", "Na", "Na", "Bi", "Bi", "Cl", "Cl", "Cl", "Cl", "Cl", "Cl", "Cl", "Cl", "Cl", "Cl", "Cl", "Cl"],
  "fractional_positions": [[0.999, 0.500, 0.815], [0.501, 0.000, 0.685], [0.499, 0.000, 0.315], [0.001, 0.500, 0.185], [0.500, 0.500, 0.000], [0.000, 0.000, 0.500], [0.838, 0.781, 0.338], [0.837, 0.775, 0.658], [0.809, 0.717, 0.999], [0.691, 0.217, 0.501], [0.663, 0.275, 0.842], [0.662, 0.281, 0.162], [0.162, 0.219, 0.662], [0.163, 0.225, 0.342], [0.191, 0.283, 0.001], [0.309, 0.783, 0.499], [0.337, 0.725, 0.158], [0.338, 0.719, 0.838]],
  "m_tot_mub_per_fu": 0.72,
  "raw_formation_energy_ev_per_atom": -1.1889
}

---

Repeat the first record exactly.
{
  "formula": "MgReRh",
  "functional": "GGA-PBE",
  "state": "optimized geometry",
  "cell": [[-3.540, 6.388, 1.391], [-2.286, -3.130, 2.288], [1.693, 0.436, 2.293]],
  "species": ["Re", "Re", "Mg", "Mg", "Rh", "Rh"],
  "fractional_positions": [[0.940, 0.488, 0.340], [0.008, 0.999, 0.837], [0.651, 0.911, 0.338], [0.297, 0.576, 0.839], [0.309, 0.074, 0.338], [0.638, 0.413, 0.839]],
  "m_tot_mub_per_fu": 0.00,
  "formation_enthalpy_0k_ev_per_atom": -0.10,
  "de_polymorph_mev_per_atom": 47
}

---

Copy entry 10 word for word.
{
  "formula": "Sr2SiAgRh",
  "functional": "GGA-PBE",
  "state": "optimized geometry",
  "cell": [[-4.607, -3.438, -0.994], [1.907, -0.988, -5.423], [2.343, -3.566, 1.474]],
  "species": ["Sr", "Sr", "Si", "Rh", "Ag"],
  "fractional_positions": [[0.000, 0.500, 0.000], [0.500, 0.000, 0.000], [0.000, 0.000, 0.500], [0.000, 0.000, 0.000], [0.500, 0.500, 0.500]],
  "m_tot_mub_per_fu": 0.00,
  "raw_formation_energy_ev_per_atom": -0.2678
}

---

Question: Number 7 is which compound?
Answer: RbBa2RuO5